A plane-wave DFT calculation with PBEsol was carried out for a relaxed structure of YMgPt2.

a = 3.429 Å, b = 4.612 Å, c = 4.611 Å
α = 90.00°, β = 90.00°, γ = 90.00°
Positions (direct):
Pt 0.875 0.875 0.000
Pt 0.875 0.375 0.500
Mg 0.376 0.875 0.500
Y 0.375 0.375 0.000

* total magnetic moment: 0.000 μB/atom
* uncorrected energy: -6.561 eV per atom
* Fermi-level density of states: 1.52 states/eV per cell
* energy of formation: -944 meV per atom

---

A plane-wave DFT calculation with PBEsol was carried out for a relaxed structure of Hf2MgI2.

a = 4.966 Å, b = 4.966 Å, c = 6.777 Å
α = 111.49°, β = 111.49°, γ = 90.00°
Positions (direct):
Mg 0.000 0.000 0.000
Hf 0.619 0.619 0.238
Hf 0.381 0.381 0.762
I 0.750 0.250 0.500
I 0.250 0.750 0.500

* total magnetic moment: 0.000 μB/atom
* uncorrected energy: -4.856 eV per atom
* Fermi-level density of states: 4.81 states/eV per cell